Compound: SrW
Source: Alexandria
Functional: PBE-GGA
Structure: optimized geometry

Output
The calculation puts the calculated formation energy at 15.2 kcal/mol of atoms. Its crystal system is tetragonal. The total energy is -26.6 eV per cell. Its mass density is 7.7 g/cm³. The energy relative to the lowest polymorph listed for this composition comes out at 0.267 eV per formula unit. The calculation puts the spin magnetization at 0.0 μB per formula unit. The value obtained for the density of states at the Fermi level is 1.93 states/eV/f.u.

```
4
Lattice="3.479 0.000 0.000 0.000 3.479 0.000 0.000 0.000 9.724" Properties=species:S:1:pos:R:3 pbc="T T T"
Sr 0.870 0.870 1.923
Sr 2.609 2.609 7.801
W 0.870 0.870 5.337
W 2.609 2.609 4.387
```